1.
# Pm4ThAs5 PBE relaxed
# Calculated density (Mg/m³): 7.30
# Total moment (μB per atom): 0.000
# Formation energy (eV per formula unit): -15.20
# Total energy (eV per formula unit): -64.9
# DOS at the Fermi energy (states/eV per atom): 0.31
data_Pm4ThAs5
_chemical_formula_sum 'Pm8 Th2 As10'
_cell_length_a 4.247
_cell_length_b 5.996
_cell_length_c 21.207
_cell_angle_alpha 90.00
_cell_angle_beta 90.00
_cell_angle_gamma 90.00
_symmetry_space_group_name_H-M 'I m m m'
_symmetry_Int_Tables_number 71
_symmetry_space_group_name_Hall '-I 2 2'
loop_
_atom_site_label
_atom_site_fract_x
_atom_site_fract_y
_atom_site_fract_z
Pm1 0.000 0.000 0.102
Pm2 0.000 0.000 0.298
Th1 0.000 0.000 0.500
As1 0.000 0.500 0.099
As2 0.000 0.500 0.300
As3 0.000 0.500 0.500

---

2.
# PmThAs PBE relaxed
# Calculated density (Mg/m³): 7.96
# Total moment (μB per atom): 0.022
# Formation energy (eV per formula unit): -2.20
# Total energy (eV per formula unit): -19.0
# DOS at the Fermi energy (states/eV per atom): 0.63
data_PmThAs
_chemical_formula_sum 'Pm1 Th1 As1'
_cell_length_a 4.0227
_cell_length_b 4.0227
_cell_length_c 6.7267
_cell_angle_alpha 90.00
_cell_angle_beta 90.00
_cell_angle_gamma 120.00
_symmetry_space_group_name_H-M 'P 3 m 1'
_symmetry_Int_Tables_number 156
loop_
_symmetry_equiv_pos_as_xyz
'x,y,z'
'-y,x-y,z'
'-x+y,-x,z'
'-y,-x,z'
'-x+y,y,z'
'x,x-y,z'
loop_
_atom_site_label
_atom_site_fract_x
_atom_site_fract_y
_atom_site_fract_z
Pm1 0.0000 0.0000 0.0000
Th1 0.6667 0.3333 0.5347
As1 0.3333 0.6667 0.2646

---

3.
# Pm3ThAs4 PBE relaxed
# Calculated density (Mg/m³): 7.43
# Total moment (μB per atom): 0.000
# Formation energy (eV per formula unit): -12.07
# Total energy (eV per formula unit): -52.3
# DOS at the Fermi energy (states/eV per atom): 0.51
data_Pm3ThAs4
_chemical_formula_sum 'Pm3 Th1 As4'
_cell_length_a 6.001
_cell_length_b 6.001
_cell_length_c 6.001
_cell_angle_alpha 90.00
_cell_angle_beta 90.00
_cell_angle_gamma 90.00
_symmetry_space_group_name_H-M 'P m -3 m'
_symmetry_Int_Tables_number 221
_symmetry_space_group_name_Hall '-P 4 2 3'
loop_
_atom_site_label
_atom_site_fract_x
_atom_site_fract_y
_atom_site_fract_z
Pm1 0.000 0.000 0.500
Th1 0.500 0.500 0.500
As1 0.000 0.000 0.000
As2 0.000 0.500 0.500

---

4.
# Pm2ThAs3 PBE relaxed
# Calculated density (Mg/m³): 7.37
# Total moment (μB per atom): 0.000
# Formation energy (eV per formula unit): -7.87
# Total energy (eV per formula unit): -38.7
# DOS at the Fermi energy (states/eV per atom): 0.40
data_Pm2ThAs3
_chemical_formula_sum 'Pm8 Th4 As12'
_cell_length_a 16.354
_cell_length_b 4.210
_cell_length_c 10.322
_cell_angle_alpha 90.00
_cell_angle_beta 108.77
_cell_angle_gamma 90.00
_symmetry_space_group_name_H-M 'C 1 2/m 1'
_symmetry_Int_Tables_number 12
loop_
_symmetry_equiv_pos_as_xyz
'x,y,z'
'-x,-y,-z'
'-x,y,-z'
'x,-y,z'
'x+1/2,y+1/2,z'
'-x+1/2,-y+1/2,-z'
'-x+1/2,y+1/2,-z'
'x+1/2,-y+1/2,z'
loop_
_atom_site_label
_atom_site_fract_x
_atom_site_fract_y
_atom_site_fract_z
Pm1 0.169 0.000 0.335
Pm2 0.169 0.500 0.836
Th1 0.000 0.000 0.500
Th2 0.000 0.500 0.000
As1 0.028 0.000 0.806
As2 0.137 0.500 0.528
As3 0.193 0.500 0.139